Entry from Alexandria via LeMat-Bulk: crystalline CoCuW at its relaxed geometry (PBE).

symmetry: Imm2
polymorph energy (0 for the lowest one): 0 meV per atom
calculated formation energy: 0.16 eV/atom

Unit cell a=4.5028 b=4.5028 c=4.5028 alpha=145.53 beta=131.63 gamma=60.74
Last column: nearest neighbours and their distance in Å.
Positions (direct):
Co: 0.0000 0.0000 0.0000  5 W 2.60-2.61, 5 Cu 2.60-2.62, 2 Co 2.67
Cu: 0.6623 0.6623 0.0000  5 W 2.55-2.64, 5 Co 2.60-2.62, 2 Cu 2.67
W: 0.3345 0.3345 0.0000  5 Cu 2.55-2.64, 5 Co 2.60-2.61, 2 W 2.67

***

Entry from Alexandria via LeMat-Bulk: crystalline Co2CuW2 at its relaxed geometry (PBE).

symmetry: I4/mmm
polymorph energy (0 for the lowest one): 356 meV per atom
calculated formation energy: 0.58 eV/atom

Unit cell a=5.5983 b=5.5983 c=5.5983 alpha=138.74 beta=138.74 gamma=59.77
Last column: nearest neighbours and their distance in Å.
Positions (direct):
Co: 0.1079 0.1079 0.0000  1 Co 2.10
Co: 0.8921 0.8921 0.0000  1 Co 2.10
Cu: 0.5000 0.5000 0.0000  8 Co 2.98, 8 W 3.13
W: 0.2500 0.7500 0.5000  4 Co 2.41
W: 0.7500 0.2500 0.5000  4 Co 2.41

***

Entry from Alexandria via LeMat-Bulk: crystalline Co2CuW at its relaxed geometry (PBE).

symmetry: P2/m
polymorph energy (0 for the lowest one): 212 meV per atom
calculated formation energy: 0.26 eV/atom

Unit cell a=2.5526 b=4.1603 c=4.7641 alpha=90.00 beta=95.92 gamma=90.00
Last column: nearest neighbours and their distance in Å.
Positions (direct):
Co: 0.2491 0.0000 0.2438  2 Cu 2.50, 2 W 2.53, 5 Co 2.53-2.77
Co: 0.7509 0.0000 0.7562  2 Cu 2.50, 2 W 2.53, 5 Co 2.53-2.77
Cu: 0.5000 0.5000 0.0000  4 Co 2.50, 2 Cu 2.55, 2 W 2.58
W: 0.0000 0.5000 0.5000  4 Co 2.53, 2 W 2.55, 4 Cu 2.58-2.82

***

Entry from Alexandria via LeMat-Bulk: crystalline Co3CuW at its relaxed geometry (PBE).

symmetry: Pm-3m
polymorph energy (0 for the lowest one): 56 meV per atom
calculated formation energy: 1.62 eV/atom

Unit cell a=4.4217 b=4.4217 c=4.4217 alpha=90.00 beta=90.00 gamma=90.00
Last column: nearest neighbours and their distance in Å.
Positions (direct):
Co: 0.0000 0.0000 0.5000  2 W 2.21
Co: 0.0000 0.5000 0.0000  2 W 2.21
Co: 0.5000 0.0000 0.0000  2 W 2.21
Cu: 0.5000 0.5000 0.5000  12 Co 3.13
W: 0.0000 0.0000 0.0000  6 Co 2.21

***

Entry from Alexandria via LeMat-Bulk: crystalline Co2CuW at its relaxed geometry (PBE).

symmetry: P4/mmm
polymorph energy (0 for the lowest one): 74 meV per atom
calculated formation energy: 0.13 eV/atom

Unit cell a=3.0390 b=3.0390 c=5.3195 alpha=90.00 beta=90.00 gamma=90.00
Last column: nearest neighbours and their distance in Å.
Positions (direct):
Co: 0.0000 0.0000 0.2466  4 Cu 2.52, 4 W 2.54, 2 Co 2.62-2.70
Co: 0.0000 0.0000 0.7534  4 Cu 2.52, 4 W 2.54, 2 Co 2.62-2.70
Cu: 0.5000 0.5000 0.0000  8 Co 2.52, 2 W 2.66
W: 0.5000 0.5000 0.5000  8 Co 2.54, 2 Cu 2.66

***

Entry from Alexandria via LeMat-Bulk: crystalline Co2CuW at its relaxed geometry (PBE).

symmetry: Fm-3m
polymorph energy (0 for the lowest one): 62 meV per atom
calculated formation energy: 0.12 eV/atom

Unit cell a=4.0975 b=4.0975 c=4.0975 alpha=60.00 beta=60.00 gamma=60.00
Last column: nearest neighbours and their distance in Å.
Positions (direct):
Co: 0.2500 0.2500 0.2500  4 W 2.51, 4 Cu 2.51
Co: 0.7500 0.7500 0.7500  4 W 2.51, 4 Cu 2.51
Cu: 0.0000 0.0000 0.0000  8 Co 2.51
W: 0.5000 0.5000 0.5000  8 Co 2.51

***

Entry from Alexandria via LeMat-Bulk: crystalline Co2CuW at its relaxed geometry (PBE).

symmetry: R-3m
polymorph energy (0 for the lowest one): 210 meV per atom
calculated formation energy: 0.26 eV/atom

Unit cell a=8.4925 b=8.4925 c=8.4925 alpha=17.96 beta=17.96 gamma=17.96
Last column: nearest neighbours and their distance in Å.
Positions (direct):
Co: 0.2485 0.2485 0.2485  3 Cu 2.56, 3 W 2.62, 6 Co 2.65
Co: 0.7515 0.7515 0.7515  3 Cu 2.56, 3 W 2.62, 6 Co 2.65
Cu: 0.5000 0.5000 0.5000  6 Co 2.56, 6 Cu 2.65
W: 0.0000 0.0000 0.0000  6 Co 2.62, 6 W 2.65

***

Entry from Alexandria via LeMat-Bulk: crystalline YCo3Cu at its relaxed geometry (PBE).

symmetry: Pm-3m
polymorph energy (0 for the lowest one): 0 meV per atom
calculated formation energy: 0.66 eV/atom

Unit cell a=4.3923 b=4.3923 c=4.3923 alpha=90.00 beta=90.00 gamma=90.00
Last column: nearest neighbours and their distance in Å.
Positions (direct):
Y: 0.0000 0.0000 0.0000  12 Co 3.11
Co: 0.0000 0.5000 0.5000  2 Cu 2.20
Co: 0.5000 0.0000 0.5000  2 Cu 2.20
Co: 0.5000 0.5000 0.0000  2 Cu 2.20
Cu: 0.5000 0.5000 0.5000  6 Co 2.20

***

Entry from Alexandria via LeMat-Bulk: crystalline Y8CoCu2 at its relaxed geometry (PBE).

symmetry: Cm
polymorph energy (0 for the lowest one): 109 meV per atom
calculated formation energy: 0.01 eV/atom

Unit cell a=7.6329 b=7.6329 c=6.0935 alpha=104.24 beta=104.24 gamma=109.33
Last column: nearest neighbours and their distance in Å.
Positions (direct):
Y: 0.0000 0.0000 0.0000  2 Cu 2.99, 1 Y 3.32
Y: 0.0125 0.2770 0.5937  2 Cu 2.78-2.93, 1 Co 2.91
Y: 0.2286 0.5231 0.2547  1 Co 2.61
Y: 0.2770 0.0125 0.5937  2 Cu 2.78-2.93, 1 Co 2.91
Y: 0.4616 0.7474 0.8925  1 Co 2.72, 2 Cu 2.90-3.04
Y: 0.5231 0.2286 0.2547  1 Co 2.61
Y: 0.7355 0.7355 0.4168  2 Cu 2.81, 1 Co 3.09
Y: 0.7474 0.4616 0.8925  1 Co 2.72, 2 Cu 2.90-3.04
Co: 0.3961 0.3961 0.9635  6 Y 2.61-2.91
Cu: 0.0445 0.6630 0.6810  6 Y 2.78-3.04
Cu: 0.6630 0.0445 0.6810  6 Y 2.78-3.04

***

Entry from Alexandria via LeMat-Bulk: crystalline Y2CoCu at its relaxed geometry (PBE).

symmetry: I-42d
calculated formation energy: 0.23 eV/atom

Unit cell a=6.1009 b=6.1009 c=6.1009 alpha=106.09 beta=106.09 gamma=116.48
Last column: nearest neighbours and their distance in Å.
Positions (direct):
Y: 0.1038 0.6250 0.9788  2 Co 2.61, 2 Cu 2.82
Y: 0.3750 0.3538 0.4788  2 Co 2.61, 2 Cu 2.82
Y: 0.6462 0.1250 0.0212  2 Co 2.61, 2 Cu 2.82
Y: 0.8750 0.8962 0.5212  2 Co 2.61, 2 Cu 2.82
Co: 0.0000 0.0000 0.0000  4 Y 2.61
Co: 0.7500 0.2500 0.5000  4 Y 2.61
Cu: 0.2500 0.7500 0.5000  4 Y 2.82
Cu: 0.5000 0.5000 0.0000  4 Y 2.82

***

Entry from Alexandria via LeMat-Bulk: crystalline Y2CoCu at its relaxed geometry (PBE).

symmetry: R3m
calculated formation energy: -0.10 eV/atom

Unit cell a=7.0624 b=7.0624 c=7.0624 alpha=33.11 beta=33.11 gamma=33.11
Last column: nearest neighbours and their distance in Å.
Positions (direct):
Y: 0.0000 0.0000 0.0000  3 Cu 2.91, 3 Co 2.94
Y: 0.1773 0.1773 0.1773  3 Co 2.91, 3 Cu 2.93
Co: 0.7564 0.7564 0.7564  3 Cu 2.32
Cu: 0.4212 0.4212 0.4212  3 Co 2.32

***

Entry from Alexandria via LeMat-Bulk: crystalline Y2CoCu at its relaxed geometry (PBE).

symmetry: R-3m
calculated formation energy: 0.02 eV/atom

Unit cell a=7.2539 b=7.2539 c=7.2539 alpha=30.93 beta=30.93 gamma=30.93
Last column: nearest neighbours and their distance in Å.
Positions (direct):
Y: 0.2404 0.2404 0.2404  3 Co 2.71, 3 Cu 2.95
Y: 0.7596 0.7596 0.7596  3 Co 2.71, 3 Cu 2.95
Co: 0.5000 0.5000 0.5000  6 Y 2.71
Cu: 0.0000 0.0000 0.0000  6 Y 2.95

***

Entry from Alexandria via LeMat-Bulk: crystalline Y2Co2Cu at its relaxed geometry (PBE).

symmetry: C2/c
calculated formation energy: -0.17 eV/atom

Unit cell a=5.3303 b=5.3303 c=7.6010 alpha=102.89 beta=102.89 gamma=59.25
Last column: nearest neighbours and their distance in Å.
Positions (direct):
Y: 0.0037 0.7039 0.8531  6 Co 2.83-2.96, 1 Cu 3.12
Y: 0.2961 0.9963 0.6469  6 Co 2.83-2.96, 1 Cu 3.12
Y: 0.7039 0.0037 0.3531  6 Co 2.83-2.96, 1 Cu 3.12
Y: 0.9963 0.2961 0.1469  6 Co 2.83-2.96, 1 Cu 3.12
Co: 0.2126 0.5040 0.4961  1 Co 2.30, 2 Cu 2.54-2.55
Co: 0.4960 0.7874 0.0039  1 Co 2.30, 2 Cu 2.54-2.55
Co: 0.5040 0.2126 0.9961  1 Co 2.30, 2 Cu 2.54-2.55
Co: 0.7874 0.4960 0.5039  1 Co 2.30, 2 Cu 2.54-2.55
Cu: 0.3571 0.6429 0.2500  4 Co 2.54-2.55
Cu: 0.6429 0.3571 0.7500  4 Co 2.54-2.55